# Sr2AlCd12Ag3 PBE optimized geometry
# Total moment, μB/f.u.: 0.00
# Calculated total energy, eV per atom: -1.5085
# Crystal system: trigonal
# ΔE_f, eV per formula unit: -0.5
data_Sr2AlCd12Ag3
_chemical_formula_sum 'Sr6 Al3 Cd36 Ag9'
_cell_length_a 6.0792
_cell_length_b 6.0792
_cell_length_c 42.9376
_cell_angle_alpha 90.00
_cell_angle_beta 90.00
_cell_angle_gamma 120.00
_space_group_name_H-M_alt 'R -3 m'
_space_group_IT_number 166
_space_group_name_Hall '-R 3 2"'
loop_
_atom_site_label
_atom_site_fract_x
_atom_site_fract_y
_atom_site_fract_z
Sr1 0.0000 0.0000 0.1478
Al1 0.0000 0.0000 0.5000
Cd1 0.9998 0.4999 0.1108
Cd2 0.0127 0.5063 0.6139
Ag1 0.0000 0.5000 0.0000